Entry 1:
## Ni3W3C (PBE)

Data for an optimized crystal structure of Ni3W3C.

a b c (Å): 11.102 11.102 11.102
angles (deg): 90.00 90.00 90.00
Space group Fd-3m (No. 227, origin choice 2)
Asymmetric unit:
Ni 0.000 0.000 0.000 [16 per cell]
Ni 0.040 0.040 0.210 [32 per cell]
W 0.081 0.375 0.875 [48 per cell]
C 0.000 0.000 0.500 [16 per cell]

## Properties
Density (g/cm3): 14.360
Uncorrected energy (eV per atom): -9.29

Entry 2:
## Pr2SmSn3PdPt2 (PBE)

Data for an optimized crystal structure of Pr2SmSn3PdPt2.

a b c (Å): 4.154 13.235 7.659
angles (deg): 90.00 90.00 90.00
Space group Amm2 (No. 38)
Asymmetric unit:
Pr 0.000 0.206 0.000 [4 per cell]
Sm 0.000 0.000 0.618 [2 per cell]
Sn 0.500 0.000 0.953 [2 per cell]
Sn 0.500 0.125 0.334 [4 per cell]
Pd 0.000 0.000 0.209 [2 per cell]
Pt 0.500 0.164 0.705 [4 per cell]

## Properties
Density (g/cm3): 10.136
Uncorrected energy (eV per atom): -5.85

Entry 3:
## Rb2AgWBr6 (PBE)

Data for an optimized crystal structure of Rb2AgWBr6.

a b c (Å): 10.889 10.889 10.889
angles (deg): 90.00 90.00 90.00
Space group Fm-3m (No. 225)
Asymmetric unit:
Rb 0.250 0.250 0.250 [8 per cell]
Ag 0.000 0.000 0.000 [4 per cell]
W 0.000 0.000 0.500 [4 per cell]
Br 0.000 0.000 0.260 [24 per cell]

## Properties
Density (g/cm3): 4.847
Uncorrected energy (eV per atom): -3.62

Entry 4:
## Ta2BeGa (PBE)

Data for an optimized crystal structure of Ta2BeGa.

a b c (Å): 6.314 6.314 6.314
angles (deg): 90.00 90.00 90.00
Space group F-43m (No. 216)
Asymmetric unit:
Ta 0.000 0.000 0.000 [4 per cell]
Ta 0.250 0.250 0.250 [4 per cell]
Be 0.250 0.250 0.750 [4 per cell]
Ga 0.000 0.000 0.500 [4 per cell]

## Properties
Density (g/cm3): 11.629
Uncorrected energy (eV per atom): -7.23

Entry 5:
## KNbSn (PBE)

Data for an optimized crystal structure of KNbSn.

a b c (Å): 7.250 7.250 7.250
angles (deg): 90.00 90.00 90.00
Space group F-43m (No. 216)
Asymmetric unit:
K 0.000 0.000 0.000 [4 per cell]
Nb 0.000 0.000 0.500 [4 per cell]
Sn 0.250 0.250 0.250 [4 per cell]

## Properties
Density (g/cm3): 4.370
Uncorrected energy (eV per atom): -4.06
Polymorph energy (0 for the lowest one) (meV per atom): 0

Entry 6:
## Tb3Bi2As (PBE)

Data for an optimized crystal structure of Tb3Bi2As.

a b c (Å): 4.3405 4.3405 10.7748
angles (deg): 90.00 90.00 120.00
Space group P-3m1 (No. 164)
Asymmetric unit:
Tb 0.0000 0.0000 0.0000 [1 per cell]
Tb 0.3333 0.6667 0.3531 [2 per cell]
Bi 0.3333 0.6667 0.8250 [2 per cell]
As 0.0000 0.0000 0.5000 [1 per cell]

## Properties
Density (g/cm3): 9.159
Uncorrected energy (eV per atom): -5.53